Entry 1:
## KNbO3 (PBE)

Data for a geometry-optimized KNbO3 structure.

Properties
E_tot, eV/atom: -7.47
Total moment, μB per cell: 0.0
ρ, g/cm3: 2.47
Energy relative to the elements, uncorrected, eV per atom: -2.2639
Space group: No. 38

Cell lengths 3.0545, 6.5677, 6.5677 Å; angles 66.45, 90.00, 90.00 degrees
Last column: nearest neighbours and their distance in Å.
Fractional coordinates of all 5 atoms:
1 K 0.0000 0.0000 0.0000  4 O 2.59-2.60
2 Nb 0.5000 0.3531 0.3531  1 O 1.78
3 O 0.0000 0.2172 0.5712  2 Nb 2.04
4 O 0.0000 0.5712 0.2172  2 Nb 2.04
5 O 0.5000 0.1908 0.1908  1 Nb 1.78



Entry 2:
## Te2PtW (PBE)

Data for a geometry-optimized Te2PtW structure.

Properties
E_tot, eV/atom: -6.27
Total moment, μB per cell: 0.0
ρ, g/cm3: 10.21
Energy relative to the elements, uncorrected, eV per atom: 0.0507
Space group: No. 160
ΔE to the lowest computed polymorph, meV/atom: 0

Cell lengths 7.3577, 7.3577, 7.3577 Å; angles 32.64, 32.64, 32.64 degrees
Last column: nearest neighbours and their distance in Å.
Fractional coordinates of all 4 atoms:
1 Te 0.0000 0.0000 0.0000  3 Pt 2.75
2 Te 0.1884 0.1884 0.1884  3 W 2.95
3 Pt 0.7319 0.7319 0.7319  3 W 2.53, 3 Te 2.75
4 W 0.4387 0.4387 0.4387  3 Pt 2.53



Entry 3:
## ThAl6Ag6 (PBE)

Data for a geometry-optimized ThAl6Ag6 structure.

Properties
ΔE_f, meV per atom: -157
E_tot, eV/atom: -3.77
Total moment, μB per cell: 0.0
ρ, g/cm3: 7.34
Space group: No. 71

Cell lengths 7.1378, 7.1378, 7.1378 Å; angles 135.57, 99.78, 96.66 degrees
Last column: nearest neighbours and their distance in Å.
Fractional coordinates of all 13 atoms:
1 Th 0.0000 0.0000 0.0000  8 Ag 3.16-3.32, 4 Al 3.41
2 Al 0.0000 0.0000 0.5000  4 Al 2.70-2.74, 6 Ag 2.70-2.86
3 Al 0.0000 0.5000 0.0000  4 Al 2.70-2.74, 6 Ag 2.70-2.86
4 Al 0.2258 0.5000 0.7258  4 Al 2.74, 6 Ag 2.84-2.91
5 Al 0.5000 0.0000 0.0000  4 Al 2.70-2.74, 6 Ag 2.70-2.86
6 Al 0.5000 0.5000 0.5000  4 Al 2.70-2.74, 6 Ag 2.70-2.86
7 Al 0.7742 0.5000 0.2742  4 Al 2.74, 6 Ag 2.84-2.91
8 Ag 0.2037 0.7037 0.5000  6 Al 2.70-2.84
9 Ag 0.3441 0.0000 0.3441  6 Al 2.86-2.91, 3 Ag 2.87-3.16, 1 Th 3.16
10 Ag 0.3486 0.3486 0.0000  6 Al 2.83-2.90, 3 Ag 2.87-3.03
11 Ag 0.6514 0.6514 0.0000  6 Al 2.83-2.90, 3 Ag 2.87-3.03
12 Ag 0.6559 0.0000 0.6559  6 Al 2.86-2.91, 3 Ag 2.87-3.16, 1 Th 3.16
13 Ag 0.7963 0.2963 0.5000  6 Al 2.70-2.84



Entry 4:
## VIn (PBE)

Data for a geometry-optimized VIn structure.

Properties
ΔE_f, meV per atom: 188
E_tot, eV/atom: -5.74
Total moment, μB per cell: 0.0
ρ, g/cm3: 7.71
Space group: No. 74

Cell lengths 5.5014, 5.5014, 5.5014 Å; angles 145.61, 129.92, 62.16 degrees
Last column: nearest neighbours and their distance in Å.
Fractional coordinates of all 4 atoms:
1 V 0.4044 0.1544 0.2500  2 V 2.43
2 V 0.5956 0.8456 0.7500  2 V 2.43
3 In 0.1375 0.3875 0.7500  8 V 2.87-3.20, 4 In 3.06-3.15
4 In 0.8625 0.6125 0.2500  8 V 2.87-3.20, 4 In 3.06-3.15



Entry 5:
## Ba2SnHg6 (PBE)

Data for a geometry-optimized Ba2SnHg6 structure.

Properties
ΔE_f, meV per atom: -404
E_tot, eV/atom: -1.48
Total moment, μB per cell: 0.0
ρ, g/cm3: 9.76
Space group: No. 164

Cell lengths 6.9553, 6.9553, 6.4866 Å; angles 90.00, 90.00, 120.00 degrees
Last column: nearest neighbours and their distance in Å.
Fractional coordinates of all 9 atoms:
1 Ba 0.3333 0.6667 0.3232  12 Hg 3.62-3.78
2 Ba 0.6667 0.3333 0.6768  12 Hg 3.62-3.78
3 Sn 0.0000 0.0000 0.5000  6 Hg 3.06
4 Hg 0.1805 0.3611 0.8319  1 Sn 3.06, 4 Hg 3.08-3.19
5 Hg 0.1805 0.8195 0.8319  1 Sn 3.06, 4 Hg 3.08-3.19
6 Hg 0.3611 0.1805 0.1681  1 Sn 3.06, 4 Hg 3.08-3.19
7 Hg 0.6389 0.8195 0.8319  1 Sn 3.06, 4 Hg 3.08-3.19
8 Hg 0.8195 0.1805 0.1681  1 Sn 3.06, 4 Hg 3.08-3.19
9 Hg 0.8195 0.6389 0.1681  1 Sn 3.06, 4 Hg 3.08-3.19



Entry 6:
## AuIO2 (PBE)

Data for a geometry-optimized AuIO2 structure.

Properties
E_tot, eV/atom: -2.86
Total moment, μB per cell: 0.0
ρ, g/cm3: 10.35
Energy relative to the elements, uncorrected, eV per atom: 0.8244
Space group: No. 225

Cell lengths 4.3218, 4.3218, 4.3218 Å; angles 60.00, 60.00, 60.00 degrees
Last column: nearest neighbours and their distance in Å.
Fractional coordinates of all 4 atoms:
1 Au 0.0000 0.0000 0.0000  8 O 2.65
2 I 0.5000 0.5000 0.5000  8 O 2.65
3 O 0.2500 0.2500 0.2500  4 I 2.65, 4 Au 2.65
4 O 0.7500 0.7500 0.7500  4 I 2.65, 4 Au 2.65



Entry 7:
## Mn4ZnIr (PBE)

Data for a geometry-optimized Mn4ZnIr structure.

Properties
ΔE_f, meV per atom: 137
E_tot, eV/atom: -7.66
Total moment, μB per cell: 1.9
ρ, g/cm3: 10.95
Space group: No. 216

Cell lengths 4.6787, 4.6787, 4.6787 Å; angles 60.00, 60.00, 60.00 degrees
Last column: nearest neighbours and their distance in Å.
Fractional coordinates of all 6 atoms:
1 Mn 0.1236 0.1236 0.1236  6 Mn 2.31-2.37
2 Mn 0.1236 0.1236 0.6293  6 Mn 2.31-2.37
3 Mn 0.1236 0.6293 0.1236  6 Mn 2.31-2.37
4 Mn 0.6293 0.1236 0.1236  6 Mn 2.31-2.37
5 Zn 0.7500 0.7500 0.7500  12 Mn 2.74, 4 Ir 2.87
6 Ir 0.5000 0.5000 0.5000  12 Mn 2.75, 4 Zn 2.87



Entry 8:
## Na2TlGaBr (PBE)

Data for a geometry-optimized Na2TlGaBr structure.

Properties
E_tot, eV/atom: -1.97
Total moment, μB per cell: 0.0
ρ, g/cm3: 3.56
Energy relative to the elements, uncorrected, eV per atom: -0.0259
Space group: No. 123

Cell lengths 5.6339, 5.6339, 5.8739 Å; angles 90.00, 90.00, 90.00 degrees
Last column: nearest neighbours and their distance in Å.
Fractional coordinates of all 5 atoms:
1 Na 0.0000 0.5000 0.0000  2 Ga 2.82
2 Na 0.5000 0.0000 0.0000  2 Ga 2.82
3 Tl 0.0000 0.0000 0.5000  4 Br 3.98, 8 Na 4.07
4 Ga 0.5000 0.5000 0.0000  4 Na 2.82, 2 Br 2.94
5 Br 0.5000 0.5000 0.5000  2 Ga 2.94



> What is the formula in the third record?

ThAl6Ag6